one.
# Tl2TcIr | Alexandria | PBE | relaxed
# * ρ: 15635 kg/m³
# * spin magnetization: 1.37 μB/cell
data_Tl2TcIr
_symmetry_space_group_name_H-M 'P 4/m m m'
_symmetry_Int_Tables_number 123
_symmetry_space_group_name_Hall '-P 4 2'
_cell_length_a 3.307
_cell_length_b 3.307
_cell_length_c 6.790
_cell_angle_alpha 90.00
_cell_angle_beta 90.00
_cell_angle_gamma 90.00
loop_
_atom_site_label
_atom_site_fract_x
_atom_site_fract_y
_atom_site_fract_z
Tl1 0.000 0.000 0.248
Tc1 0.500 0.500 0.500
Ir1 0.500 0.500 0.000



two.
# Tl2TcIr | Alexandria | PBE | relaxed
# * ρ: 15494 kg/m³
# * spin magnetization: 0.33 μB/cell
data_Tl2TcIr
_symmetry_space_group_name_H-M 'C 1 2/m 1'
_symmetry_Int_Tables_number 12
_cell_length_a 9.062
_cell_length_b 3.057
_cell_length_c 5.503
_cell_angle_alpha 90.00
_cell_angle_beta 100.69
_cell_angle_gamma 90.00
loop_
_symmetry_equiv_pos_as_xyz
'x,y,z'
'-x,-y,-z'
'-x,y,-z'
'x,-y,z'
'x+1/2,y+1/2,z'
'-x+1/2,-y+1/2,-z'
'-x+1/2,y+1/2,-z'
'x+1/2,-y+1/2,z'
loop_
_atom_site_label
_atom_site_fract_x
_atom_site_fract_y
_atom_site_fract_z
Tl1 0.250 0.000 0.250
Tc1 0.000 0.000 0.500
Ir1 0.000 0.500 0.000



three.
# Tl2TcIr | Alexandria | PBE | relaxed
# * ρ: 13515 kg/m³
# * spin magnetization: 0.00 μB/cell
data_Tl2TcIr
_symmetry_space_group_name_H-M 'P m m 2'
_symmetry_Int_Tables_number 25
_cell_length_a 2.893
_cell_length_b 3.540
_cell_length_c 8.384
_cell_angle_alpha 90.00
_cell_angle_beta 90.00
_cell_angle_gamma 90.00
loop_
_symmetry_equiv_pos_as_xyz
'x,y,z'
'-x,-y,z'
'-x,y,z'
'x,-y,z'
loop_
_atom_site_label
_atom_site_fract_x
_atom_site_fract_y
_atom_site_fract_z
Tl1 0.000 0.000 0.000
Tl2 0.500 0.500 0.342
Tc1 0.500 0.500 0.746
Ir1 0.000 0.000 0.604



It is three that is the most stable of them.



one.
# Tl2TcIr | Alexandria | PBE | relaxed
# * ρ: 14776 kg/m³
# * spin magnetization: 10.86 μB/cell
data_Tl2TcIr
_symmetry_space_group_name_H-M 'F -4 3 m'
_symmetry_Int_Tables_number 216
_symmetry_space_group_name_Hall 'F -4 2 3'
_cell_length_a 6.798
_cell_length_b 6.798
_cell_length_c 6.798
_cell_angle_alpha 90.00
_cell_angle_beta 90.00
_cell_angle_gamma 90.00
loop_
_atom_site_label
_atom_site_fract_x
_atom_site_fract_y
_atom_site_fract_z
Tl1 0.000 0.000 0.000
Tl2 0.250 0.250 0.250
Tc1 0.000 0.000 0.500
Ir1 0.250 0.250 0.750



two.
# Tl2TcIr | Alexandria | PBE | relaxed
# * ρ: 15784 kg/m³
# * spin magnetization: 0.00 μB/cell
data_Tl2TcIr
_symmetry_space_group_name_H-M 'F m -3 m'
_symmetry_Int_Tables_number 225
_symmetry_space_group_name_Hall '-F 4 2 3'
_cell_length_a 6.650
_cell_length_b 6.650
_cell_length_c 6.650
_cell_angle_alpha 90.00
_cell_angle_beta 90.00
_cell_angle_gamma 90.00
loop_
_atom_site_label
_atom_site_fract_x
_atom_site_fract_y
_atom_site_fract_z
Tl1 0.250 0.250 0.250
Tc1 0.000 0.000 0.000
Ir1 0.000 0.000 0.500



It is two that is the most stable of them.



one.
# Tl2TcIr | Alexandria | PBE | relaxed
# * ρ: 14155 kg/m³
# * spin magnetization: 0.00 μB/cell
data_Tl2TcIr
_symmetry_space_group_name_H-M 'I -4 2 d'
_symmetry_Int_Tables_number 122
_symmetry_space_group_name_Hall 'I -4 2bw'
_cell_length_a 7.654
_cell_length_b 7.654
_cell_length_c 5.599
_cell_angle_alpha 90.00
_cell_angle_beta 90.00
_cell_angle_gamma 90.00
loop_
_atom_site_label
_atom_site_fract_x
_atom_site_fract_y
_atom_site_fract_z
Tl1 0.242 0.750 0.125
Tc1 0.000 0.000 0.500
Ir1 0.000 0.000 0.000



two.
# Tl2TcIr | Alexandria | PBE | relaxed
# * ρ: 15495 kg/m³
# * spin magnetization: 0.05 μB/cell
data_Tl2TcIr
_symmetry_space_group_name_H-M 'P 1 2/m 1'
_symmetry_Int_Tables_number 10
_cell_length_a 4.836
_cell_length_b 3.060
_cell_length_c 5.487
_cell_angle_alpha 90.00
_cell_angle_beta 112.71
_cell_angle_gamma 90.00
loop_
_symmetry_equiv_pos_as_xyz
'x,y,z'
'-x,-y,-z'
'-x,y,-z'
'x,-y,z'
loop_
_atom_site_label
_atom_site_fract_x
_atom_site_fract_y
_atom_site_fract_z
Tl1 0.000 0.000 0.000
Tl2 0.000 0.500 0.500
Tc1 0.500 0.000 0.500
Ir1 0.500 0.500 0.000



three.
# Tl2TcIr | Alexandria | PBE | relaxed
# * ρ: 15214 kg/m³
# * spin magnetization: 4.79 μB/cell
data_Tl2TcIr
_symmetry_space_group_name_H-M 'I -4 m 2'
_symmetry_Int_Tables_number 119
_symmetry_space_group_name_Hall 'I -4 -2'
_cell_length_a 4.104
_cell_length_b 4.104
_cell_length_c 9.061
_cell_angle_alpha 90.00
_cell_angle_beta 90.00
_cell_angle_gamma 90.00
loop_
_atom_site_label
_atom_site_fract_x
_atom_site_fract_y
_atom_site_fract_z
Tl1 0.000 0.000 0.000
Tl2 0.000 0.500 0.250
Tc1 0.000 0.000 0.500
Ir1 0.000 0.500 0.750



It is two that is the most stable of them.



one.
# TlTcIr | Alexandria | PBE | relaxed
# * ρ: 13853 kg/m³
# * spin magnetization: 1.53 μB/cell
data_TlTcIr
_symmetry_space_group_name_H-M 'F -4 3 m'
_symmetry_Int_Tables_number 216
_symmetry_space_group_name_Hall 'F -4 2 3'
_cell_length_a 6.190
_cell_length_b 6.190
_cell_length_c 6.190
_cell_angle_alpha 90.00
_cell_angle_beta 90.00
_cell_angle_gamma 90.00
loop_
_atom_site_label
_atom_site_fract_x
_atom_site_fract_y
_atom_site_fract_z
Tl1 0.000 0.000 0.000
Tc1 0.000 0.000 0.500
Ir1 0.250 0.250 0.750



two.
# TlTcIr | Alexandria | PBE | relaxed
# * ρ: 15869 kg/m³
# * spin magnetization: 0.00 μB/cell
data_TlTcIr
_symmetry_space_group_name_H-M 'I 4 m m'
_symmetry_Int_Tables_number 107
_symmetry_space_group_name_Hall 'I 4 -2'
_cell_length_a 2.905
_cell_length_b 2.905
_cell_length_c 12.268
_cell_angle_alpha 90.00
_cell_angle_beta 90.00
_cell_angle_gamma 90.00
loop_
_atom_site_label
_atom_site_fract_x
_atom_site_fract_y
_atom_site_fract_z
Tl1 0.000 0.000 0.000
Tc1 0.000 0.000 0.319
Ir1 0.000 0.000 0.685



It is two that is the most stable of them.